Compound: AcTb2Sc
Source: the Alexandria database
Functional: GGA-PBE
Structure: relaxed

The total energy is -4.724 eV per atom. The calculated formation energy comes out at 200.8 meV/atom. The total magnetization is 0.01 μB per formula unit. Its energy above the most stable polymorph in this dataset is 0.114 eV/atom.

The structure belongs to space group Fm-3m (No. 225); the cell edges are 8.102, 8.102 and 8.102 Å and the angles 90.00°, 90.00° and 90.00°. The asymmetric unit holds Ac at (0.000, 0.000, 0.000), Tb at (0.250, 0.250, 0.250) and Sc at (0.000, 0.000, 0.500).